Entry 1:
Pr8GeP3I4 PBE-GGA optimized geometry; density = 6.03 g/cm³; formation energy from raw total energies = -1.290 eV per atom
1.0
8.581 0.000 0.000
0.000 9.210 0.445
-4.291 -4.292 6.067
I Pr P Ge
4 8 3 1
Direct
0.000 0.000 0.500
0.000 0.000 0.000
0.500 0.000 0.000
0.500 0.000 0.500
0.730 0.689 0.459
0.234 0.692 0.958
0.766 0.308 0.042
0.723 0.692 0.958
0.270 0.311 0.541
0.277 0.308 0.042
0.766 0.308 0.531
0.234 0.692 0.469
0.500 0.500 0.000
0.000 0.500 0.500
0.500 0.500 0.500
0.000 0.500 0.000

***

Entry 2:
Pr6GeP2I3 PBE-GGA optimized geometry; density = 6.05 g/cm³; formation energy from raw total energies = -1.265 eV per atom
1.0
7.437 -0.001 0.000
-3.717 6.441 0.000
-1.241 -2.148 7.804
I P Pr Ge
3 2 6 1
Direct
0.835 0.165 0.500
0.165 0.835 0.500
0.500 0.500 0.500
0.667 0.333 0.000
0.333 0.667 0.000
0.064 0.404 0.192
0.936 0.596 0.808
0.276 0.276 0.809
0.724 0.724 0.191
0.596 0.936 0.808
0.404 0.064 0.192
0.000 0.000 0.000

***

Entry 3:
Pr6Ge3P2I PBE-GGA optimized geometry; density = 6.02 g/cm³; formation energy from raw total energies = -1.059 eV per atom
1.0
-1.640 -3.886 0.680
-0.390 -1.354 -8.679
9.394 -1.257 2.046
I Pr P Ge
1 6 2 3
Direct
0.500 0.000 0.000
0.331 0.424 0.662
0.996 0.725 0.992
0.325 0.903 0.651
0.675 0.097 0.349
0.669 0.576 0.338
0.004 0.275 0.008
0.167 0.333 0.335
0.833 0.667 0.665
0.838 0.168 0.675
0.162 0.832 0.325
0.500 0.500 0.000

***

Entry 4:
Pr6Ge2P3I PBE-GGA optimized geometry; density = 5.94 g/cm³; formation energy from raw total energies = -1.209 eV per atom
1.0
-1.622 -3.238 -2.152
7.983 -1.882 -3.186
0.319 -3.410 9.013
Pr Ge P I
6 2 3 1
Direct
0.334 0.409 0.668
0.001 0.721 0.001
0.324 0.918 0.649
0.666 0.591 0.332
0.999 0.279 0.999
0.676 0.082 0.351
0.834 0.668 0.669
0.166 0.332 0.331
0.163 0.834 0.327
0.837 0.166 0.673
0.500 0.500 0.000
0.500 0.000 0.000

***

Entry 5:
RbGe2PI PBE-GGA optimized geometry; density = 1.86 g/cm³; formation energy from raw total energies = 1.635 eV per atom
1.0
-5.593 -4.374 0.435
2.803 -4.056 -4.740
3.289 -3.698 5.109
Ge Rb P I
2 1 1 1
Direct
0.000 0.000 0.500
0.500 0.000 0.000
0.000 0.000 0.000
0.500 0.500 0.500
0.000 0.500 0.000

***

Entry 6:
Rb2GePI6 PBE-GGA optimized geometry; density = 4.34 g/cm³; formation energy from raw total energies = -0.597 eV per atom
1.0
-7.069 4.267 -0.077
-1.328 -2.341 -7.806
-7.057 -3.738 -2.046
I Rb Ge P
6 2 1 1
Direct
0.744 0.744 0.513
0.746 0.254 0.000
0.254 0.254 0.000
0.254 0.746 0.000
0.746 0.746 0.000
0.256 0.256 0.487
0.250 0.750 0.500
0.750 0.250 0.500
0.000 0.000 0.000
0.500 0.500 0.000

***

Entry 7:
Rb2GePI PBE-GGA optimized geometry; density = 2.59 g/cm³; formation energy from raw total energies = 0.373 eV per atom
1.0
-6.649 -1.362 -0.707
0.137 -3.062 4.606
-1.526 5.517 3.714
I P Rb Ge
1 1 2 1
Direct
0.000 0.000 0.000
0.000 0.500 0.000
0.500 0.000 0.000
0.000 0.000 0.500
0.500 0.500 0.500

***

Entry 8:
ReGePI2 PBE-GGA optimized geometry; density = 5.87 g/cm³; formation energy from raw total energies = 1.832 eV per atom
1.0
-0.844 -4.513 -3.206
4.798 -2.214 1.854
-2.420 -2.162 3.680
I Re P Ge
2 1 1 1
Direct
0.500 0.000 0.000
0.000 0.500 0.000
0.000 0.000 0.500
0.500 0.500 0.500
0.000 0.000 0.000

***

Entry 9:
GePRuI2 PBE-GGA optimized geometry; density = 5.46 g/cm³; formation energy from raw total energies = 0.888 eV per atom
1.0
-2.222 4.277 -2.905
-2.534 1.027 3.451
4.030 3.414 1.944
Ru I P Ge
1 2 1 1
Direct
0.000 0.500 0.000
0.500 0.000 0.000
0.000 0.000 0.500
0.000 0.000 0.000
0.500 0.500 0.500

***

Entry 10:
GePS2I PBE-GGA optimized geometry; polymorph energy (0 for the lowest one) = 11.31 kcal/mol of atoms; density = 3.72 g/cm³; formation energy from raw total energies = 1.163 eV per atom
1.0
-3.204 -1.382 -3.640
-3.146 -1.858 3.475
-2.357 4.602 0.327
I S Ge P
1 2 1 1
Direct
0.000 0.000 0.000
0.500 0.000 0.000
0.000 0.500 0.000
0.500 0.500 0.500
0.000 0.000 0.500

***

Entry 11:
GeP2SI PBE-GGA optimized geometry; polymorph energy (0 for the lowest one) = 0.00 kcal/mol of atoms; density = 4.38 g/cm³; formation energy from raw total energies = 0.838 eV per atom
1.0
-2.652 -3.896 -1.438
1.428 -2.457 4.025
-3.630 1.629 2.282
P Ge I S
2 1 1 1
Direct
0.500 0.000 0.000
0.000 0.500 0.000
0.000 0.000 0.000
0.500 0.500 0.500
0.000 0.000 0.500

***

Entry 12:
GePS2I PBE-GGA optimized geometry; polymorph energy (0 for the lowest one) = 0.00 kcal/mol of atoms; density = 4.31 g/cm³; formation energy from raw total energies = 0.672 eV per atom
1.0
-0.859 4.505 -0.090
-0.941 -0.090 4.488
5.180 1.010 1.106
S P I Ge
2 1 1 1
Direct
0.000 0.500 0.000
0.500 0.000 0.000
0.000 0.000 0.500
0.500 0.500 0.500
0.000 0.000 0.000

***

Entry 13:
GeP2SI PBE-GGA optimized geometry; polymorph energy (0 for the lowest one) = 12.98 kcal/mol of atoms; density = 3.67 g/cm³; formation energy from raw total energies = 1.400 eV per atom
1.0
5.145 0.000 0.000
0.000 5.145 0.000
0.000 0.000 5.017
P I Ge S
2 1 1 1
Direct
0.000 0.500 0.000
0.500 0.000 0.000
0.000 0.000 0.000
0.500 0.500 0.500
0.000 0.000 0.500

***

Entry 14:
GeSbPI2 PBE-GGA optimized geometry; polymorph energy (0 for the lowest one) = 4.98 kcal/mol of atoms; density = 4.40 g/cm³; formation energy from raw total energies = 0.838 eV per atom
1.0
-2.062 5.076 -1.257
-3.819 -0.538 4.090
3.635 2.396 3.709
Ge Sb P I
1 1 1 2
Direct
0.000 0.000 0.000
0.000 0.000 0.500
0.500 0.500 0.500
0.000 0.500 0.000
0.500 0.000 0.000

***

Entry 15:
GeSbPI2 PBE-GGA optimized geometry; polymorph energy (0 for the lowest one) = 0.00 kcal/mol of atoms; density = 5.09 g/cm³; formation energy from raw total energies = 0.622 eV per atom
1.0
-1.421 -5.122 -0.356
4.946 -1.267 -1.519
1.423 -0.761 5.271
I Ge Sb P
2 1 1 1
Direct
0.000 0.500 0.000
0.500 0.000 0.000
0.500 0.500 0.500
0.000 0.000 0.500
0.000 0.000 0.000

***

Entry 16:
Sm8Ge3PI4 PBE-GGA optimized geometry; density = 6.76 g/cm³; formation energy from raw total energies = -1.094 eV per atom
1.0
-5.636 1.328 -6.289
-5.867 -5.582 4.079
3.047 6.614 4.476
I Ge Sm P
4 3 8 1
Direct
0.000 0.000 0.500
0.500 0.000 0.000
0.000 0.000 0.000
0.500 0.000 0.500
0.500 0.500 0.500
0.500 0.500 0.000
0.000 0.500 0.500
0.772 0.307 0.035
0.263 0.307 0.035
0.733 0.698 0.465
0.737 0.693 0.965
0.772 0.307 0.544
0.267 0.302 0.535
0.228 0.693 0.965
0.228 0.693 0.456
0.000 0.500 0.000

***

Entry 17:
Sr6GeP2I3 PBE-GGA optimized geometry; density = 3.99 g/cm³; formation energy from raw total energies = -1.233 eV per atom
1.0
7.943 -0.055 -0.013
-4.018 6.853 -0.013
-1.323 -2.291 8.004
Sr Ge P I
6 1 2 3
Direct
0.937 0.592 0.803
0.408 0.063 0.197
0.592 0.937 0.803
0.063 0.408 0.197
0.724 0.724 0.200
0.276 0.276 0.800
0.000 0.000 0.000
0.335 0.665 0.000
0.665 0.335 0.000
0.168 0.832 0.500
0.832 0.168 0.500
0.500 0.500 0.500

***

Entry 18:
Sr8Ge3PI4 PBE-GGA optimized geometry; density = 4.09 g/cm³; formation energy from raw total energies = -1.036 eV per atom
1.0
-4.294 -7.727 -2.157
8.234 -5.031 1.631
-3.157 5.233 6.734
Sr I Ge P
8 4 3 1
Direct
0.255 0.297 0.026
0.739 0.718 0.479
0.261 0.282 0.521
0.229 0.703 0.974
0.771 0.297 0.542
0.229 0.703 0.458
0.771 0.297 0.026
0.745 0.703 0.974
0.500 0.000 0.000
0.500 0.000 0.500
0.000 0.000 0.000
0.000 0.000 0.500
0.500 0.500 0.000
0.500 0.500 0.500
0.000 0.500 0.500
0.000 0.500 0.000

***

Entry 19:
TaGePI2 PBE-GGA optimized geometry; density = 5.88 g/cm³; formation energy from raw total energies = 1.523 eV per atom
1.0
5.433 0.000 0.000
0.000 5.152 0.000
0.000 0.000 5.433
Ta P Ge I
1 1 1 2
Direct
0.000 0.500 0.000
0.500 0.500 0.500
0.000 0.000 0.000
0.000 0.000 0.500
0.500 0.000 0.000

***

Entry 20:
TcGe2PI PBE-GGA optimized geometry; density = 4.56 g/cm³; formation energy from raw total energies = 1.931 eV per atom
1.0
5.357 0.000 0.000
0.000 5.090 0.000
0.000 0.000 5.357
Ge P I Tc
2 1 1 1
Direct
0.000 0.000 0.500
0.500 0.000 0.000
0.000 0.500 0.000
0.000 0.000 0.000
0.500 0.500 0.500

***

Entry 21:
VGePI2 PBE-GGA optimized geometry; density = 4.47 g/cm³; formation energy from raw total energies = 1.168 eV per atom
1.0
5.774 0.000 0.000
0.000 4.546 0.000
0.000 0.000 5.774
P V I Ge
1 1 2 1
Direct
0.000 0.500 0.000
0.500 0.500 0.500
0.000 0.000 0.500
0.500 0.000 0.000
0.000 0.000 0.000

***

Entry 22:
YGe2PI PBE-GGA optimized geometry; density = 3.52 g/cm³; formation energy from raw total energies = 0.853 eV per atom
1.0
-4.091 3.842 -0.757
-3.967 -3.955 1.366
0.391 1.490 5.450
I Ge P Y
1 2 1 1
Direct
0.000 0.500 0.000
0.000 0.000 0.500
0.500 0.000 0.000
0.500 0.500 0.500
0.000 0.000 0.000

***

Entry 23:
ZnGePI2 PBE-GGA optimized geometry; density = 4.23 g/cm³; formation energy from raw total energies = 0.536 eV per atom
1.0
5.829 0.000 0.000
0.000 4.887 0.000
0.000 0.000 5.829
Zn P Ge I
1 1 1 2
Direct
0.500 0.500 0.500
0.000 0.500 0.000
0.000 0.000 0.000
0.000 0.000 0.500
0.500 0.000 0.000

***

Entry 24:
Pa2GeI2 PBE-GGA optimized geometry; density = 7.68 g/cm³; formation energy from raw total energies = -0.651 eV per atom
1.0
-2.448 -3.211 -1.041
1.029 -3.869 1.165
-6.316 -1.021 9.649
I Ge Pa
2 1 2
Direct
0.773 0.773 0.680
0.227 0.227 0.320
0.000 0.000 0.000
0.622 0.622 0.134
0.378 0.378 0.866

***

Entry 25:
PaGe2I8 PBE-GGA optimized geometry; density = 3.83 g/cm³; formation energy from raw total energies = -0.543 eV per atom
1.0
-6.901 -5.374 -0.225
4.423 1.135 7.351
-5.621 7.146 1.713
I Ge Pa
8 2 1
Direct
0.359 0.242 0.161
0.883 0.242 0.161
0.641 0.758 0.839
0.117 0.234 0.751
0.117 0.758 0.839
0.883 0.766 0.249
0.322 0.645 0.401
0.678 0.355 0.599
0.853 0.706 0.622
0.147 0.294 0.378
0.000 0.000 0.000